# Ag4H6C6I5NO2, optimized geometry, DFT PBE
data_Ag4H6C6I5NO2
_cell_length_a 10.875
_cell_length_b 7.853
_cell_length_c 24.327
_cell_angle_alpha 90.00
_cell_angle_beta 112.49
_cell_angle_gamma 90.00
_space_group_name_H-M_alt 'P 1 21/c 1'
_space_group_IT_number 14
_space_group_name_Hall '-P 2ybc'
loop_
_atom_site_label
_atom_site_type_symbol
_atom_site_fract_x
_atom_site_fract_y
_atom_site_fract_z
_atom_site_occupancy
Ag1 Ag 0.007 0.162 0.102 1
Ag2 Ag 0.059 0.641 0.201 1
Ag3 Ag 0.086 0.172 0.509 1
Ag4 Ag 0.178 0.678 0.604 1
H1 H 0.284 0.197 0.236 1
H2 H 0.331 0.594 0.761 1
H3 H 0.338 0.086 0.819 1
H4 H 0.420 0.702 0.856 1
H5 H 0.483 0.502 0.944 1
H6 H 0.490 0.628 0.476 1
C1 C 0.327 0.162 0.283 1
C2 C 0.357 0.221 0.829 1
C3 C 0.405 0.565 0.852 1
C4 C 0.413 0.220 0.388 1
C5 C 0.438 0.046 0.399 1
C6 C 0.448 0.154 0.937 1
I1 I 0.043 0.689 0.802 1
I2 I 0.103 0.174 0.905 1
I3 I 0.189 0.663 0.000 1
I4 I 0.276 0.163 0.112 1
I5 I 0.328 0.640 0.210 1
N1 N 0.351 0.504 0.796 1
O1 O 0.446 0.502 0.427 1
O2 O 0.482 0.222 0.990 1
# V	19.99	Å³ per atom
# uncorrected energy	-5.00	eV per atom
# density	4118	kg/m³